[1]
An optimized crystal structure of BaIn2CoBr, computed with GGA-PBE.

energy relative to the elements, uncorrected: -7.20 kcal/mol of atoms
energy relative to the lowest polymorph listed for this composition: 219.5 meV/atom

Cell lengths 4.9074, 4.9074, 6.3353 Å; angles 90.00, 90.00, 90.00 degrees
Space group P4/mmm (No. 123)
Unique sites:
Ba: 0.0000 0.0000 0.0000
In: 0.0000 0.5000 0.5000
Co: 0.5000 0.5000 0.5000
Br: 0.5000 0.5000 0.0000

=====

[2]
An optimized crystal structure of BaIn2CoBr, computed with GGA-PBE.

energy relative to the elements, uncorrected: -12.26 kcal/mol of atoms
energy relative to the lowest polymorph listed for this composition: 0.0 meV/atom

Cell lengths 4.9613, 4.9613, 6.0307 Å; angles 90.00, 90.00, 90.00 degrees
Space group P4/mmm (No. 123)
Unique sites:
Ba: 0.0000 0.0000 0.0000
In: 0.0000 0.5000 0.5000
Co: 0.0000 0.0000 0.5000
Br: 0.5000 0.5000 0.0000

=====

[3]
An optimized crystal structure of KBa2CoBr, computed with GGA-PBE.

energy relative to the elements, uncorrected: -2.54 kcal/mol of atoms

Cell lengths 5.6537, 5.6537, 6.3916 Å; angles 90.00, 90.00, 90.00 degrees
Space group P4/mmm (No. 123)
Unique sites:
K: 0.0000 0.0000 0.0000
Ba: 0.0000 0.5000 0.5000
Co: 0.0000 0.0000 0.5000
Br: 0.5000 0.5000 0.0000

=====

Q: Among the records above, which one has the highest energy relative to the elements, uncorrected?
A: KBa2CoBr

=====

Q: What is the energy relative to the elements, uncorrected in the third record?
A: -2.54 kcal/mol of atoms

=====

Q: Look up the energy relative to the elements, uncorrected of the first one.
A: -7.20 kcal/mol of atoms